Entry 1:
# HgBPt3 PBE optimized geometry
data_HgBPt3
_symmetry_space_group_name_H-M 'R 3 c'
_symmetry_Int_Tables_number 161
_symmetry_space_group_name_Hall 'R 3 -2"c'
_cell_length_a 6.4313
_cell_length_b 6.4313
_cell_length_c 12.9613
_cell_angle_alpha 90.00
_cell_angle_beta 90.00
_cell_angle_gamma 120.00
loop_
_atom_site_label
_atom_site_type_symbol
_atom_site_fract_x
_atom_site_fract_y
_atom_site_fract_z
Hg1 Hg 0.0000 0.0000 0.0000
B1 B 0.0000 0.0000 0.2863
Pt1 Pt 0.1359 0.3602 0.3433
# Density of states at the Fermi level, states/eV/f.u.: 1.5
# Size of the total moment, μB/f.u.: 0.00
# Energy relative to the elements, kcal/mol of atoms: -2.5
# Excess energy over the best structure of this formula in the dataset, meV/atom: 102



Entry 2:
# HgBPt3 PBE optimized geometry
data_HgBPt3
_symmetry_space_group_name_H-M 'P 1'
_symmetry_Int_Tables_number 1
_symmetry_space_group_name_Hall 'P 1'
_cell_length_a 2.865
_cell_length_b 4.918
_cell_length_c 5.711
_cell_angle_alpha 91.00
_cell_angle_beta 90.89
_cell_angle_gamma 106.16
loop_
_atom_site_label
_atom_site_type_symbol
_atom_site_fract_x
_atom_site_fract_y
_atom_site_fract_z
Hg1 Hg 0.000 0.000 0.000
B1 B 0.318 0.642 0.502
Pt1 Pt 0.732 0.464 0.247
Pt2 Pt 0.737 0.462 0.749
Pt3 Pt 0.976 0.992 0.499
# Density of states at the Fermi level, states/eV/f.u.: 1.3
# Size of the total moment, μB/f.u.: 0.00
# Energy relative to the elements, kcal/mol of atoms: -3.3
# Excess energy over the best structure of this formula in the dataset, meV/atom: 68



- The highest excess energy over the best structure of this formula in the dataset belongs to which entry?
  number 1



- Number 1 is which compound?
  HgBPt3